(1)
Density functional theory data (PBE) for crystalline PmPr5Al2 at its relaxed geometry.

Cell lengths 3.732, 8.452, 8.452 Å; angles 79.44, 77.25, 77.25 degrees
Element x y z (fractional)
Pm1 0.000 0.000 0.000
Pr1 0.000 0.500 0.500
Pr2 0.643 0.575 0.140
Pr3 0.357 0.425 0.860
Pr4 0.357 0.860 0.425
Pr5 0.643 0.140 0.575
Al1 0.724 0.776 0.776
Al2 0.276 0.224 0.224

Calculated values
SG   No. 71



(2)
Density functional theory data (PBE) for crystalline PmPr3Al8 at its relaxed geometry.

Cell lengths 5.690, 5.690, 9.386 Å; angles 90.00, 90.00, 120.00 degrees
Element x y z (fractional)
Pm1 0.000 0.000 0.568
Pr1 0.667 0.333 0.432
Pr2 0.667 0.333 0.068
Pr3 0.000 0.000 0.932
Al1 0.333 0.667 0.501
Al2 0.333 0.667 0.999
Al3 0.504 0.009 0.749
Al4 0.504 0.496 0.749
Al5 0.991 0.496 0.749
Al6 0.162 0.324 0.251
Al7 0.162 0.838 0.251
Al8 0.676 0.838 0.251

Calculated values
SG   No. 156



(3)
Density functional theory data (PBE) for crystalline Pm3Pr2Al3 at its relaxed geometry.

Cell lengths 3.802, 5.284, 11.681 Å; angles 103.07, 99.37, 90.00 degrees
Element x y z (fractional)
Pm1 0.384 0.384 0.768
Pm2 0.616 0.616 0.232
Pm3 0.500 0.000 0.000
Pr1 0.272 0.772 0.544
Pr2 0.728 0.228 0.456
Al1 0.885 0.885 0.771
Al2 0.000 0.500 0.000
Al3 0.115 0.115 0.229

Calculated values
SG   No. 71



(4)
Density functional theory data (PBE) for crystalline Pm4PrAl2 at its relaxed geometry.

Cell lengths 5.843, 5.843, 7.587 Å; angles 112.65, 112.65, 90.00 degrees
Element x y z (fractional)
Pm1 0.750 0.250 0.500
Pm2 0.250 0.750 0.500
Pm3 0.500 0.000 0.000
Pm4 0.000 0.500 0.000
Pr1 0.000 0.000 0.000
Al1 0.612 0.612 0.225
Al2 0.388 0.388 0.775

Calculated values
SG   No. 139



(5)
Density functional theory data (PBE) for crystalline PmPr5Al2 at its relaxed geometry.

Cell lengths 5.494, 5.494, 20.284 Å; angles 90.00, 90.00, 120.00 degrees
Element x y z (fractional)
Pm1 0.333 0.667 0.250
Pm2 0.667 0.333 0.750
Pr1 0.000 0.000 0.346
Pr2 0.000 0.000 0.154
Pr3 0.667 0.333 0.250
Pr4 0.000 0.000 0.846
Pr5 0.667 0.333 0.056
Pr6 0.333 0.667 0.750
Pr7 0.333 0.667 0.944
Pr8 0.333 0.667 0.556
Pr9 0.667 0.333 0.444
Pr10 0.000 0.000 0.654
Al1 0.667 0.333 0.600
Al2 0.333 0.667 0.100
Al3 0.333 0.667 0.400
Al4 0.667 0.333 0.900

Calculated values
SG   No. 194



(6)
Density functional theory data (PBE) for crystalline PmPr3Al4 at its relaxed geometry.

Cell lengths 3.745, 3.745, 14.979 Å; angles 90.00, 90.00, 90.00 degrees
Element x y z (fractional)
Pr1 0.500 0.500 0.248
Pr2 0.500 0.500 0.500
Pr3 0.500 0.500 0.752
Al1 0.000 0.000 0.879
Al2 0.000 0.000 0.121
Al3 0.000 0.000 0.374
Al4 0.000 0.000 0.626
Pm1 0.500 0.500 0.000

Calculated values
SG   No. 123



(7)
Density functional theory data (PBE) for crystalline Pm3PrAl2 at its relaxed geometry.

Cell lengths 5.305, 9.199, 9.231 Å; angles 124.15, 90.00, 106.76 degrees
Element x y z (fractional)
Pm1 0.313 0.625 0.625
Pm2 0.938 0.876 0.591
Pm3 0.619 0.237 0.707
Pm4 0.381 0.763 0.293
Pm5 0.062 0.124 0.409
Pm6 0.687 0.375 0.375
Pr1 0.870 0.741 0.926
Pr2 0.130 0.259 0.074
Al1 0.521 0.041 0.887
Al2 0.479 0.959 0.113
Al3 0.767 0.534 0.133
Al4 0.233 0.466 0.867

Calculated values
SG   No. 12



(8)
Density functional theory data (PBE) for crystalline Pm3PrAl2 at its relaxed geometry.

Cell lengths 5.247, 6.720, 9.841 Å; angles 90.00, 90.00, 90.00 degrees
Element x y z (fractional)
Pm1 0.000 0.474 0.953
Pm2 0.000 0.974 0.047
Pm3 0.500 0.688 0.172
Pm4 0.500 0.188 0.828
Pm5 0.000 0.312 0.325
Pm6 0.000 0.812 0.675
Pr1 0.500 0.527 0.546
Pr2 0.500 0.027 0.454
Al1 0.500 0.708 0.853
Al2 0.500 0.208 0.147
Al3 0.000 0.291 0.649
Al4 0.000 0.791 0.351

Calculated values
SG   No. 26



(9)
Density functional theory data (PBE) for crystalline Pm2PrAl6 at its relaxed geometry.

Cell lengths 4.494, 8.042, 8.042 Å; angles 54.44, 73.77, 73.77 degrees
Element x y z (fractional)
Pm1 0.375 0.125 0.125
Pm2 0.625 0.875 0.875
Pr1 0.500 0.500 0.500
Al1 0.183 0.510 0.125
Al2 0.817 0.490 0.875
Al3 0.817 0.875 0.490
Al4 0.000 0.184 0.816
Al5 0.000 0.816 0.184
Al6 0.183 0.125 0.510

Calculated values
SG   No. 71



(10)
Density functional theory data (PBE) for crystalline PmPr9Al2 at its relaxed geometry.

Cell lengths 5.000, 5.000, 15.372 Å; angles 90.00, 90.00, 90.00 degrees
Element x y z (fractional)
Pm1 0.000 0.000 0.000
Pr1 0.500 0.500 0.000
Pr2 0.500 0.500 0.341
Pr3 0.500 0.500 0.659
Pr4 0.500 0.000 0.179
Pr5 0.500 0.000 0.500
Pr6 0.500 0.000 0.821
Pr7 0.000 0.500 0.179
Pr8 0.000 0.500 0.500
Pr9 0.000 0.500 0.821
Al1 0.000 0.000 0.340
Al2 0.000 0.000 0.660

Calculated values
SG   No. 123



(11)
Density functional theory data (PBE) for crystalline Pm2Pr3Al3 at its relaxed geometry.

Cell lengths 3.403, 8.707, 8.707 Å; angles 120.00, 90.00, 90.00 degrees
Element x y z (fractional)
Pm1 0.000 0.333 0.667
Pm2 0.000 0.667 0.333
Pr1 0.000 0.753 0.753
Pr2 0.000 0.247 0.000
Pr3 0.000 0.000 0.247
Al1 0.500 0.383 0.383
Al2 0.500 0.617 0.000
Al3 0.500 0.000 0.617

Calculated values
SG   No. 189



(12)
Density functional theory data (PBE) for crystalline Pm5PrAl3 at its relaxed geometry.

Cell lengths 6.856, 9.306, 9.306 Å; angles 120.00, 90.00, 90.00 degrees
Element x y z (fractional)
Pm1 0.000 0.667 0.334
Pm2 0.500 0.333 0.666
Pm3 0.000 0.333 0.666
Pm4 0.500 0.667 0.334
Pm5 0.750 0.668 0.668
Pm6 0.750 0.000 0.332
Pm7 0.750 0.332 0.000
Pm8 0.250 0.332 0.332
Pm9 0.250 0.000 0.668
Pm10 0.250 0.668 0.000
Pr1 0.000 0.000 0.000
Pr2 0.500 0.000 0.000
Al1 0.750 0.337 0.337
Al2 0.750 0.000 0.663
Al3 0.750 0.663 0.000
Al4 0.250 0.663 0.663
Al5 0.250 0.000 0.337
Al6 0.250 0.337 0.000

Calculated values
SG   No. 193



(13)
Density functional theory data (PBE) for crystalline PmPrAl at its relaxed geometry.

Cell lengths 4.450, 3.474, 11.285 Å; angles 81.15, 90.00, 90.00 degrees
Element x y z (fractional)
Al1 0.250 0.124 0.753
Al2 0.750 0.876 0.247
Pm1 0.250 0.444 0.111
Pm2 0.750 0.556 0.889
Pr1 0.750 0.697 0.606
Pr2 0.250 0.303 0.394

Calculated values
SG   No. 63



(14)
Density functional theory data (PBE) for crystalline Pm2PrAl9 at its relaxed geometry.

Cell lengths 5.673, 5.673, 9.424 Å; angles 72.48, 72.48, 60.00 degrees
Element x y z (fractional)
Pm1 0.858 0.858 0.425
Pm2 0.142 0.142 0.575
Pr1 0.000 0.000 0.000
Al1 0.665 0.665 0.006
Al2 0.335 0.335 0.994
Al3 0.500 0.500 0.500
Al4 0.413 0.413 0.249
Al5 0.925 0.413 0.249
Al6 0.413 0.925 0.249
Al7 0.587 0.587 0.751
Al8 0.587 0.075 0.751
Al9 0.075 0.587 0.751

Calculated values
SG   No. 166



(15)
Density functional theory data (PBE) for crystalline PmPr5Al6 at its relaxed geometry.

Cell lengths 5.303, 9.179, 9.179 Å; angles 120.07, 106.76, 106.76 degrees
Element x y z (fractional)
Pr1 0.500 0.169 0.831
Pr2 0.000 0.335 0.665
Pr3 0.500 0.500 0.500
Pr4 0.000 0.665 0.335
Pr5 0.500 0.831 0.169
Al1 0.246 0.081 0.412
Al2 0.754 0.588 0.919
Al3 0.743 0.243 0.243
Al4 0.257 0.757 0.757
Al5 0.246 0.412 0.081
Al6 0.754 0.919 0.588
Pm1 0.000 0.000 0.000

Calculated values
SG   No. 12



(16)
Density functional theory data (PBE) for crystalline Pm6PrAl at its relaxed geometry.

Cell lengths 4.973, 4.973, 10.308 Å; angles 90.00, 90.00, 90.00 degrees
Element x y z (fractional)
Pm1 0.500 0.500 0.000
Pm2 0.500 0.500 0.500
Pm3 0.500 0.000 0.265
Pm4 0.500 0.000 0.735
Pm5 0.000 0.500 0.265
Pm6 0.000 0.500 0.735
Pr1 0.000 0.000 0.000
Al1 0.000 0.000 0.500

Calculated values
SG   No. 123



(17)
Density functional theory data (PBE) for crystalline Pm3Pr5Al3 at its relaxed geometry.

Cell lengths 3.431, 10.915, 10.915 Å; angles 120.00, 90.00, 90.00 degrees
Element x y z (fractional)
Pm1 0.500 0.472 0.472
Pm2 0.500 0.000 0.528
Pm3 0.500 0.528 0.000
Pr1 0.500 0.333 0.667
Pr2 0.500 0.667 0.333
Pr3 0.500 0.181 0.181
Pr4 0.500 0.000 0.819
Pr5 0.500 0.819 0.000
Al1 0.000 0.702 0.702
Al2 0.000 0.298 0.000
Al3 0.000 0.000 0.298

Calculated values
SG   No. 189



(18)
Density functional theory data (PBE) for crystalline PmPr3Al at its relaxed geometry.

Cell lengths 5.552, 8.516, 8.598 Å; angles 119.68, 90.00, 90.00 degrees
Element x y z (fractional)
Pm1 0.500 0.096 0.192
Pm2 0.500 0.904 0.808
Pr1 0.500 0.325 0.000
Pr2 0.000 0.833 0.667
Pr3 0.500 0.675 0.000
Pr4 0.500 0.500 0.500
Pr5 0.000 0.167 0.333
Pr6 0.500 0.000 0.500
Al1 0.000 0.608 0.215
Al2 0.000 0.392 0.785

Calculated values
SG   No. 65



(19)
Density functional theory data (PBE) for crystalline Pm6Pr8Al at its relaxed geometry.

Cell lengths 6.620, 9.514, 9.514 Å; angles 120.00, 90.00, 90.00 degrees
Element x y z (fractional)
Pm1 0.670 0.647 0.095
Pm2 0.670 0.905 0.552
Pm3 0.670 0.448 0.353
Pm4 0.330 0.353 0.905
Pm5 0.330 0.095 0.448
Pm6 0.330 0.552 0.647
Pr1 0.811 0.043 0.265
Pr2 0.811 0.735 0.779
Pr3 0.811 0.221 0.957
Pr4 0.189 0.957 0.735
Pr5 0.189 0.265 0.221
Pr6 0.189 0.779 0.043
Pr7 0.858 0.333 0.667
Pr8 0.142 0.667 0.333
Al1 0.500 0.000 0.000

Calculated values
SG   No. 147



(20)
Density functional theory data (PBE) for crystalline Pm14PrAl at its relaxed geometry.

Cell lengths 7.300, 7.300, 11.554 Å; angles 90.00, 90.00, 119.95 degrees
Element x y z (fractional)
Pm1 0.337 0.663 0.500
Pm2 0.834 0.166 0.500
Pm3 0.849 0.676 0.000
Pm4 0.826 0.663 0.500
Pm5 0.324 0.151 0.000
Pm6 0.337 0.174 0.500
Pm7 0.672 0.843 0.766
Pm8 0.672 0.843 0.234
Pm9 0.157 0.328 0.766
Pm10 0.157 0.328 0.234
Pm11 0.167 0.833 0.738
Pm12 0.167 0.833 0.262
Pm13 0.672 0.328 0.767
Pm14 0.672 0.328 0.233
Pr1 0.324 0.676 0.000
Al1 0.834 0.166 0.000

Calculated values
SG   No. 38



| no. | total moment (μB per formula unit) | formation energy (eV/atom) | total DFT energy (no corrections) (eV per atom) |
| --- | --- | --- | --- |
| 1 | 0.00 | -0.06 | -4.577 |
| 2 | 0.00 | -0.48 | -4.566 |
| 3 | 0.00 | -0.25 | -4.633 |
| 4 | 0.00 | 0.21 | -4.262 |
| 5 | 0.00 | -0.01 | -4.530 |
| 6 | 0.00 | -0.35 | -4.603 |
| 7 | 0.00 | -0.17 | -4.586 |
| 8 | 0.00 | -0.25 | -4.666 |
| 9 | 0.00 | -0.23 | -4.316 |
| 10 | 0.00 | -0.09 | -4.695 |
| 11 | 0.00 | -0.21 | -4.591 |
| 12 | 0.00 | -0.22 | -4.642 |
| 13 | 0.00 | -0.14 | -4.560 |
| 14 | 0.00 | -0.39 | -4.388 |
| 15 | 0.00 | -0.34 | -4.601 |
| 16 | 0.00 | -0.05 | -4.683 |
| 17 | 0.00 | 0.35 | -4.142 |
| 18 | 0.00 | 0.50 | -4.067 |
| 19 | 0.00 | 0.08 | -4.622 |
| 20 | 0.00 | -0.01 | -4.695 |